# 1
DFT (GGA-PBEsol) results for Ti2TlPdBr after structural relaxation.

Results
VASP energy = -23.40 eV for the cell shown
Energy above the most stable polymorph in this dataset = 0 meV/atom
ρ = 7.16 Mg/m³
Total moment = 0.0 μB/f.u.

The structure in CIF format:
```
data_Ti2TlPdBr
_chemical_formula_sum 'Ti2 Tl1 Pd1 Br1'
_symmetry_space_group_name_H-M 'P 4/m m m'
_symmetry_Int_Tables_number 123
_symmetry_space_group_name_Hall '-P 4 2'
_cell_length_a 4.5463
_cell_length_b 4.5463
_cell_length_c 5.4595
_cell_angle_alpha 90.00
_cell_angle_beta 90.00
_cell_angle_gamma 90.00
loop_
_atom_site_label
_atom_site_type_symbol
_atom_site_fract_x
_atom_site_fract_y
_atom_site_fract_z
Ti1 Ti 0.0000 0.5000 0.0000
Tl1 Tl 0.0000 0.0000 0.5000
Pd1 Pd 0.5000 0.5000 0.5000
Br1 Br 0.0000 0.0000 0.0000
```



# 2
DFT (GGA-PBEsol) results for Cs2CeTa6Br15O3 after structural relaxation.

Results
VASP energy = -334.72 eV for the cell shown
ρ = 6.53 Mg/m³
Total moment = 1.0 μB/f.u.

The structure in CIF format:
```
data_Cs2CeTa6Br15O3
_chemical_formula_sum 'Cs4 Ce2 Ta12 Br30 O6'
_symmetry_space_group_name_H-M 'P -3 1 c'
_symmetry_Int_Tables_number 163
_symmetry_space_group_name_Hall '-P 3 2c'
_cell_length_a 9.4384
_cell_length_b 9.4384
_cell_length_c 18.0503
_cell_angle_alpha 90.00
_cell_angle_beta 90.00
_cell_angle_gamma 120.00
loop_
_atom_site_label
_atom_site_type_symbol
_atom_site_fract_x
_atom_site_fract_y
_atom_site_fract_z
Cs1 Cs 0.3333 0.6667 0.0453
Ce1 Ce 0.3333 0.6667 0.7500
Ta1 Ta 0.0164 0.1903 0.6863
Br1 Br 0.0182 0.2230 0.4134
Br2 Br 0.0752 0.4731 0.6184
Br3 Br 0.2151 0.4302 0.2500
O1 O 0.1826 0.3652 0.7500
```



# 3
DFT (GGA-PBEsol) results for Bi2TeO5 after structural relaxation.

Results
VASP energy = -384.50 eV for the cell shown
ρ = 8.06 Mg/m³
Total moment = 0.0 μB/f.u.

The structure in CIF format:
```
data_Bi2TeO5
_chemical_formula_sum 'Bi16 Te8 O40'
_symmetry_space_group_name_H-M 'A e m 2'
_symmetry_Int_Tables_number 39
_symmetry_space_group_name_Hall 'A 2 -2b'
_cell_length_a 11.4005
_cell_length_b 16.4119
_cell_length_c 5.5117
_cell_angle_alpha 90.00
_cell_angle_beta 90.00
_cell_angle_gamma 90.00
loop_
_atom_site_label
_atom_site_type_symbol
_atom_site_fract_x
_atom_site_fract_y
_atom_site_fract_z
Bi1 Bi 0.1115 0.0846 0.0000
Bi2 Bi 0.1150 0.2500 0.4785
Bi3 Bi 0.3744 0.2500 0.9839
Te1 Te 0.3728 0.0800 0.5108
O1 O 0.0000 0.0000 0.2191
O2 O 0.0105 0.1624 0.2684
O3 O 0.2038 0.2500 0.1146
O4 O 0.2441 0.0397 0.3331
O5 O 0.2893 0.1580 0.6956
O6 O 0.4389 0.1477 0.2646
```



# 4
DFT (GGA-PBEsol) results for Al5Fe3O12 after structural relaxation.

Results
VASP energy = -626.15 eV for the cell shown
ρ = 4.17 Mg/m³
Total moment = 5.0 μB/f.u.

The structure in CIF format:
```
data_Al5Fe3O12
_chemical_formula_sum 'Al20 Fe12 O48'
_symmetry_space_group_name_H-M 'C 1 2/m 1'
_symmetry_Int_Tables_number 12
_symmetry_space_group_name_Hall '-C 2y'
_cell_length_a 9.9033
_cell_length_b 5.7141
_cell_length_c 13.9206
_cell_angle_alpha 90.00
_cell_angle_beta 90.26
_cell_angle_gamma 90.00
loop_
_atom_site_label
_atom_site_type_symbol
_atom_site_fract_x
_atom_site_fract_y
_atom_site_fract_z
Al1 Al 0.0816 0.2470 0.3367
Al2 Al 0.1593 0.5000 0.1619
Al3 Al 0.1655 0.0000 0.6636
Al4 Al 0.2500 0.2500 0.0000
Fe1 Fe 0.0041 0.0000 0.1218
Fe2 Fe 0.1665 0.5000 0.5467
Fe3 Fe 0.1708 0.5000 0.7931
O1 O 0.0009 0.0000 0.7397
O2 O 0.0159 0.5000 0.2513
O3 O 0.0810 0.2424 0.5986
O4 O 0.1007 0.2573 0.0842
O5 O 0.1616 0.0000 0.4014
O6 O 0.1658 0.5000 0.4050
O7 O 0.1779 0.5000 0.9235
O8 O 0.1826 0.0000 0.9210
O9 O 0.2401 0.2791 0.2526
```



# 5
DFT (GGA-PBEsol) results for ScZnAg2 after structural relaxation.

Results
VASP energy = -31.63 eV for the cell shown
Calculated formation energy = -0.252 eV per atom
ρ = 8.03 Mg/m³
Total moment = 0.0 μB/f.u.

The structure in CIF format:
```
data_ScZnAg2
_chemical_formula_sum 'Sc2 Zn2 Ag4'
_symmetry_space_group_name_H-M 'I 4/m m m'
_symmetry_Int_Tables_number 139
_symmetry_space_group_name_Hall '-I 4 2'
_cell_length_a 4.5489
_cell_length_b 4.5489
_cell_length_c 6.5142
_cell_angle_alpha 90.00
_cell_angle_beta 90.00
_cell_angle_gamma 90.00
loop_
_atom_site_label
_atom_site_type_symbol
_atom_site_fract_x
_atom_site_fract_y
_atom_site_fract_z
Sc1 Sc 0.0000 0.0000 0.0000
Zn1 Zn 0.0000 0.0000 0.5000
Ag1 Ag 0.0000 0.5000 0.2500
```



# 6
DFT (GGA-PBEsol) results for TaZn2Mo after structural relaxation.

Results
VASP energy = -26.97 eV for the cell shown
Calculated formation energy = 0.129 eV per atom
Energy above the most stable polymorph in this dataset = 52 meV/atom
ρ = 10.88 Mg/m³
Total moment = 0.0 μB/f.u.

The structure in CIF format:
```
data_TaZn2Mo
_chemical_formula_sum 'Ta1 Zn2 Mo1'
_symmetry_space_group_name_H-M 'P 4 m m'
_symmetry_Int_Tables_number 99
_symmetry_space_group_name_Hall 'P 4 -2'
_cell_length_a 3.3161
_cell_length_b 3.3161
_cell_length_c 5.6560
_cell_angle_alpha 90.00
_cell_angle_beta 90.00
_cell_angle_gamma 90.00
loop_
_atom_site_label
_atom_site_type_symbol
_atom_site_fract_x
_atom_site_fract_y
_atom_site_fract_z
Ta1 Ta 0.0000 0.0000 0.0000
Zn1 Zn 0.0000 0.0000 0.5116
Zn2 Zn 0.5000 0.5000 0.2835
Mo1 Mo 0.5000 0.5000 0.7847
```



# 7
DFT (GGA-PBEsol) results for Co2RuCl after structural relaxation.

Results
VASP energy = -26.16 eV for the cell shown
Energy above the most stable polymorph in this dataset = 0 meV/atom
ρ = 7.98 Mg/m³
Total moment = 2.7 μB/f.u.

The structure in CIF format:
```
data_Co2RuCl
_chemical_formula_sum 'Co2 Ru1 Cl1'
_symmetry_space_group_name_H-M 'P m m 2'
_symmetry_Int_Tables_number 25
_symmetry_space_group_name_Hall 'P 2 -2'
_cell_length_a 2.7400
_cell_length_b 2.8784
_cell_length_c 6.7088
_cell_angle_alpha 90.00
_cell_angle_beta 90.00
_cell_angle_gamma 90.00
loop_
_atom_site_label
_atom_site_type_symbol
_atom_site_fract_x
_atom_site_fract_y
_atom_site_fract_z
Co1 Co 0.0000 0.0000 0.0000
Co2 Co 0.5000 0.5000 0.1988
Ru1 Ru 0.0000 0.0000 0.4156
Cl1 Cl 0.5000 0.0000 0.7196
```



# 8
DFT (GGA-PBEsol) results for BaZn2Cd after structural relaxation.

Results
VASP energy = -14.32 eV for the cell shown
Calculated formation energy = -0.162 eV per atom
ρ = 6.09 Mg/m³
Total moment = 0.0 μB/f.u.

The structure in CIF format:
```
data_BaZn2Cd
_chemical_formula_sum 'Ba2 Zn4 Cd2'
_symmetry_space_group_name_H-M 'C 1 2/m 1'
_symmetry_Int_Tables_number 12
_symmetry_space_group_name_Hall '-C 2y'
_cell_length_a 7.9040
_cell_length_b 4.5471
_cell_length_c 6.3397
_cell_angle_alpha 90.00
_cell_angle_beta 114.44
_cell_angle_gamma 90.00
loop_
_atom_site_label
_atom_site_type_symbol
_atom_site_fract_x
_atom_site_fract_y
_atom_site_fract_z
Ba1 Ba 0.0000 0.0000 0.0000
Zn1 Zn 0.1969 0.0000 0.5900
Cd1 Cd 0.0000 0.5000 0.5000
```



# 9
DFT (GGA-PBEsol) results for ZrMoHSe2 after structural relaxation.

Results
VASP energy = -33.47 eV for the cell shown
ρ = 8.15 Mg/m³
Total moment = 0.0 μB/f.u.

The structure in CIF format:
```
data_ZrMoHSe2
_chemical_formula_sum 'Zr1 Mo1 H1 Se2'
_symmetry_space_group_name_H-M 'P 4/m m m'
_symmetry_Int_Tables_number 123
_symmetry_space_group_name_Hall '-P 4 2'
_cell_length_a 4.5664
_cell_length_b 4.5664
_cell_length_c 3.3800
_cell_angle_alpha 90.00
_cell_angle_beta 90.00
_cell_angle_gamma 90.00
loop_
_atom_site_label
_atom_site_type_symbol
_atom_site_fract_x
_atom_site_fract_y
_atom_site_fract_z
Zr1 Zr 0.0000 0.0000 0.0000
Mo1 Mo 0.5000 0.5000 0.0000
H1 H 0.5000 0.5000 0.5000
Se1 Se 0.0000 0.5000 0.5000
```



# 10
DFT (GGA-PBEsol) results for CdIn2P after structural relaxation.

Results
VASP energy = -12.30 eV for the cell shown
Calculated formation energy = 0.162 eV per atom
Energy above the most stable polymorph in this dataset = 0 meV/atom
ρ = 7.04 Mg/m³
Total moment = 0.0 μB/f.u.

The structure in CIF format:
```
data_CdIn2P
_chemical_formula_sum 'Cd1 In2 P1'
_symmetry_space_group_name_H-M 'P 4 m m'
_symmetry_Int_Tables_number 99
_symmetry_space_group_name_Hall 'P 4 -2'
_cell_length_a 3.3469
_cell_length_b 3.3469
_cell_length_c 7.8525
_cell_angle_alpha 90.00
_cell_angle_beta 90.00
_cell_angle_gamma 90.00
loop_
_atom_site_label
_atom_site_type_symbol
_atom_site_fract_x
_atom_site_fract_y
_atom_site_fract_z
Cd1 Cd 0.0000 0.0000 0.0000
In1 In 0.0000 0.0000 0.5812
In2 In 0.5000 0.5000 0.2730
P1 P 0.5000 0.5000 0.7932
```



Repeat the ninth record exactly.
DFT (GGA-PBEsol) results for ZrMoHSe2 after structural relaxation.

Results
VASP energy = -33.47 eV for the cell shown
ρ = 8.15 Mg/m³
Total moment = 0.0 μB/f.u.

The structure in CIF format:
```
data_ZrMoHSe2
_chemical_formula_sum 'Zr1 Mo1 H1 Se2'
_symmetry_space_group_name_H-M 'P 4/m m m'
_symmetry_Int_Tables_number 123
_symmetry_space_group_name_Hall '-P 4 2'
_cell_length_a 4.5664
_cell_length_b 4.5664
_cell_length_c 3.3800
_cell_angle_alpha 90.00
_cell_angle_beta 90.00
_cell_angle_gamma 90.00
loop_
_atom_site_label
_atom_site_type_symbol
_atom_site_fract_x
_atom_site_fract_y
_atom_site_fract_z
Zr1 Zr 0.0000 0.0000 0.0000
Mo1 Mo 0.5000 0.5000 0.0000
H1 H 0.5000 0.5000 0.5000
Se1 Se 0.0000 0.5000 0.5000
```